1.
The following is a PBE calculation of Pr3SmTl4 after structural relaxation, from Alexandria.

Geometry as extended XYZ:
```
8
Lattice="3.7699 0.0000 0.0000 0.0000 7.3863 -0.8583 -1.8849 -2.6174 9.6873" Properties=species:S:1:pos:R:3 pbc="T T T"
Tl 0.0000 -0.7577 7.0904
Tl 1.8849 5.5266 1.7386
Tl 1.8849 2.4071 2.0988
Tl 0.0000 2.3618 6.7302
Pr 0.0000 3.6931 -0.4291
Pr 0.0000 0.4636 3.9744
Pr 1.8849 4.3054 4.8546
Sm 1.8849 0.0000 0.0000
```

Summary:
Relative energy among the computed polymorphs, kJ/mol of atoms: 13.8
Symmetry: Immm, No. 71


2.
The following is a PBE calculation of KBaTlSn after structural relaxation, from Alexandria.

Geometry as extended XYZ:
```
4
Lattice="-5.7270 0.1803 1.6785 -3.0837 -5.0721 0.6425 -1.5742 -1.8669 5.4484" Properties=species:S:1:pos:R:3 pbc="T T T"
Sn -5.1924 -3.3793 3.8847
Ba -2.5962 -1.6897 1.9424
K -7.7886 -5.0690 5.8271
Tl 0.0000 0.0000 0.0000
```

Summary:
Symmetry: F-43m, No. 216


3.
The following is a PBE calculation of Pr5Mg2Pb4 after structural relaxation, from Alexandria.

Geometry as extended XYZ:
```
11
Lattice="-0.3264 2.2739 3.9740 -4.7267 -5.5630 2.7950 10.7515 -3.5304 0.2521" Properties=species:S:1:pos:R:3 pbc="T T T"
Pb -1.3781 -1.6256 0.8170
Pb 4.7375 -2.9788 2.0936
Pb 0.9609 -3.8406 4.9275
Pb 7.0765 -5.1938 6.2040
Pr 4.1759 -3.8384 5.1902
Pr 6.6684 -0.9105 3.7196
Pr -0.1632 1.1370 1.9870
Pr 1.5225 -2.9811 1.8308
Pr -0.9700 -5.9089 3.3014
Mg -1.3295 -2.3967 3.9131
Mg 7.0279 -4.4228 3.1079
```

Summary:
Symmetry: C2/m, No. 12


Number 1: VASP energy -0.281 Ry/atom, ΔH_f (0 K) -251 meV/atom. Number 2: VASP energy -0.194 Ry/atom, ΔH_f (0 K) -299 meV/atom. Number 3: VASP energy -0.297 Ry/atom, ΔH_f (0 K) -235 meV/atom.